Crystalline GeMo4As2 at its relaxed geometry. Source: the Open Quantum Materials Database, functional PBE-GGA.

a = 6.511 Å, b = 6.511 Å, c = 2.993 Å
α = 90.00°, β = 90.00°, γ = 105.59°
Fractional coordinates of all 7 atoms:
As 0.500 0.000 0.500
As 0.000 0.500 0.500
Ge 0.000 0.000 0.000
Mo 0.635 0.365 0.000
Mo 0.365 0.635 0.000
Mo 0.270 0.270 0.500
Mo 0.730 0.730 0.500

Properties
The space group is Cmmm. The uncorrected energy is -56.193 eV/cell. The crystal system is orthorhombic. The value obtained for the total magnetization is 0.0 μB per formula unit.